Below is a relaxed structure of BeNi2BO4, with properties calculated at the PBE with a Hubbard U level.

Lattice parameters (Å, degrees): 6.053 6.053 5.945 105.27 105.27 116.30
Fractional coordinates of all 16 atoms:
Be: 0.000 0.000 0.000
Be: 0.000 0.000 0.500
Ni: 0.000 0.500 0.000
Ni: 0.500 0.000 0.500
Ni: 0.500 0.500 0.000
Ni: 0.500 0.500 0.500
B: 0.000 0.500 0.500
B: 0.500 0.000 0.000
O: 0.104 0.655 0.399
O: 0.181 0.292 0.062
O: 0.292 0.181 0.562
O: 0.345 0.896 0.101
O: 0.655 0.104 0.899
O: 0.708 0.819 0.438
O: 0.819 0.708 0.938
O: 0.896 0.345 0.601

Calculated values
As for the crystal system: monoclinic. For the size of the total moment, the calculation gives 3.0 μB/f.u. The space group is C2/c (15). As for the calculated total energy: -5.772 eV per atom.